## Pa2ReW (PBE-GGA)

Data for a relaxed structure of Pa2ReW.

It has space group R-3m (No. 166, hexagonal axes), with a = 3.0134 Å, b = 3.0134 Å, c = 31.1115 Å, α = 90.00°, β = 90.00° and γ = 120.00°. Symmetry generates all atoms from Pa at (0.0000, 0.0000, 0.0906), Re at (0.0000, 0.0000, 0.5000) and W at (0.0000, 0.0000, 0.0000).

The energy of formation from the pure elements comes out at 0.614 eV/atom. For the total DFT energy (no corrections), the calculation gives -10.484 eV per atom. Its mass density is 16.9 g cm⁻³.



## CuOsRhCl2 (PBE-GGA)

Data for a relaxed structure of CuOsRhCl2.

It has space group P4/mmm (No. 123), with a = 4.2946 Å, b = 4.2946 Å, c = 5.4057 Å, α = 90.00°, β = 90.00° and γ = 90.00°. Symmetry generates all atoms from Cu at (0.0000, 0.0000, 0.0000), Os at (0.5000, 0.5000, 0.5000), Rh at (0.0000, 0.0000, 0.5000) and Cl at (0.0000, 0.5000, 0.0000).

For the total DFT energy (no corrections), the calculation gives -3.930 eV per atom. Its mass density is 7.1 g cm⁻³.